Entry 1:
First-principles (PBEsol) data for a relaxed structure of HgRu3, as listed in Alexandria.

Properties
DFT total energy   -7.335 eV per atom
Space group   Pmmm
DOS at the Fermi energy   4.9 states/eV/cell
Energy relative to the elements   436 meV/atom

Cell lengths 2.7327, 3.8123, 5.7214 Å; angles 90.00, 90.00, 90.00 degrees
Last column: nearest neighbours and their distance in Å.
Positions (direct):
1 Hg 0.0000 0.0000 0.0000  2 Hg 2.73, 10 Ru 2.84-2.86
2 Ru 0.5000 0.5000 0.7193  7 Ru 2.51-2.73
3 Ru 0.0000 0.0000 0.5000  10 Ru 2.66-2.73, 2 Hg 2.86
4 Ru 0.5000 0.5000 0.2807  7 Ru 2.51-2.73

=====

Entry 2:
First-principles (PBEsol) data for a relaxed structure of CuHg2As, as listed in Alexandria.

Properties
DFT total energy   -2.499 eV per atom
Space group   Imm2
DOS at the Fermi energy   1.1 states/eV/cell
Energy relative to the elements   144 meV/atom

Cell lengths 2.8607, 4.6395, 6.4436 Å; angles 111.10, 102.83, 90.00 degrees
Last column: nearest neighbours and their distance in Å.
Positions (direct):
1 As 0.5619 0.5619 0.1238  2 Cu 2.49
2 Cu 0.2366 0.7366 0.4733  2 As 2.49, 4 Hg 2.74
3 Hg 0.9437 0.9437 0.8874  2 Cu 2.81, 2 Hg 2.86, 4 As 3.05
4 Hg 0.7578 0.2578 0.5155  4 Cu 2.74, 2 Hg 2.86

=====

Entry 3:
First-principles (PBEsol) data for a relaxed structure of SnH2Os, as listed in Alexandria.

Properties
DFT total energy   -5.283 eV per atom
Space group   I4_1/amd
DOS at the Fermi energy   3.0 states/eV/cell

Cell lengths 3.8933, 3.8933, 6.6191 Å; angles 107.10, 107.10, 90.00 degrees
Last column: nearest neighbours and their distance in Å.
Positions (direct):
1 H 0.6250 0.8750 0.7500  2 Os 1.79, 2 H 1.95
2 H 0.1250 0.8750 0.7500  2 Os 1.79, 2 H 1.95
3 H 0.1250 0.8750 0.2500  2 Os 1.79, 2 H 1.95
4 H 0.1250 0.3750 0.2500  2 Os 1.79, 2 H 1.95
5 Os 0.0000 0.0000 0.0000  4 H 1.79
6 Os 0.2500 0.7500 0.5000  4 H 1.79
7 Sn 0.5000 0.5000 0.0000  8 H 2.65, 4 Os 2.75
8 Sn 0.7500 0.2500 0.5000  8 H 2.65, 4 Os 2.75

=====

Entry 4:
First-principles (PBEsol) data for a relaxed structure of YSeBrN2, as listed in Alexandria.

Properties
DFT total energy   -5.009 eV per atom
Space group   P4/mmm
DOS at the Fermi energy   2.5 states/eV/cell

Cell lengths 4.0991, 4.0991, 4.8746 Å; angles 90.00, 90.00, 90.00 degrees
Last column: nearest neighbours and their distance in Å.
Positions (direct):
1 Y 0.5000 0.5000 0.5000  4 Se 2.90, 8 N 3.18
2 Se 0.0000 0.0000 0.5000  2 Br 2.44
3 Br 0.0000 0.0000 0.0000  4 N 2.05
4 N 0.0000 0.5000 0.0000  2 Br 2.05
5 N 0.5000 0.0000 0.0000  2 Br 2.05

=====

Entry 5:
First-principles (PBEsol) data for a relaxed structure of MgPd3N, as listed in Alexandria.

Properties
DFT total energy   -3.762 eV per atom
Space group   Pm-3m
DOS at the Fermi energy   3.2 states/eV/cell

Cell lengths 4.6009, 4.6009, 4.6009 Å; angles 90.00, 90.00, 90.00 degrees
Last column: nearest neighbours and their distance in Å.
Positions (direct):
1 Mg 0.0000 0.0000 0.0000  6 Pd 2.30
2 Pd 0.0000 0.5000 0.0000  2 Mg 2.30
3 Pd 0.0000 0.0000 0.5000  2 Mg 2.30
4 Pd 0.5000 0.0000 0.0000  2 Mg 2.30
5 N 0.5000 0.5000 0.5000  12 Pd 3.25

=====

Entry 6:
First-principles (PBEsol) data for a relaxed structure of Ni3MoP, as listed in Alexandria.

Properties
DFT total energy   -6.756 eV per atom
Space group   Pm-3m
DOS at the Fermi energy   4.3 states/eV/cell
Energy relative to the elements   450 meV/atom

Cell lengths 4.0685, 4.0685, 4.0685 Å; angles 90.00, 90.00, 90.00 degrees
Last column: nearest neighbours and their distance in Å.
Positions (direct):
1 Ni 0.0000 0.5000 0.0000  2 P 2.03
2 Ni 0.0000 0.0000 0.5000  2 P 2.03
3 Ni 0.5000 0.0000 0.0000  2 P 2.03
4 Mo 0.5000 0.5000 0.5000  12 Ni 2.88
5 P 0.0000 0.0000 0.0000  6 Ni 2.03